# 1
! YHg2Pd2 | the Alexandria database | PBE-GGA | optimized geometry; values from VASP
! Excess energy over the best structure of this formula in the dataset, meV/atom: 146
! Density of states at the Fermi level, states/eV/cell: 6.69
! Crystal system: tetragonal
&SYSTEM
  ibrav = 0, nat = 10, ntyp = 3
/
ATOMIC_SPECIES
Y 88.91 Y.upf
Hg 200.59 Hg.upf
Pd 106.42 Pd.upf
ATOMIC_POSITIONS crystal
Y 0.000 0.000 0.000
Y 0.500 0.500 0.000
Hg 0.374 0.874 0.000
Hg 0.874 0.626 0.000
Hg 0.626 0.126 0.000
Hg 0.126 0.374 0.000
Pd 0.176 0.676 0.500
Pd 0.676 0.824 0.500
Pd 0.824 0.324 0.500
Pd 0.324 0.176 0.500
CELL_PARAMETERS angstrom
7.891 0.000 0.000
0.000 7.891 0.000
0.000 0.000 3.304

# 2
! CaTc2Pd | the Alexandria database | PBE-GGA | optimized geometry; values from VASP
! Excess energy over the best structure of this formula in the dataset, meV/atom: 47
! Density of states at the Fermi level, states/eV/cell: 4.23
! Crystal system: cubic
&SYSTEM
  ibrav = 0, nat = 4, ntyp = 3
/
ATOMIC_SPECIES
Ca 40.08 Ca.upf
Tc 98.00 Tc.upf
Pd 106.42 Pd.upf
ATOMIC_POSITIONS crystal
Ca 0.000 0.000 0.000
Tc 0.250 0.250 0.250
Tc 0.750 0.750 0.750
Pd 0.500 0.500 0.500
CELL_PARAMETERS angstrom
0.331 -4.522 -0.651
-3.365 -2.770 1.411
-2.696 -2.076 -3.067